K2CrFe after structural relaxation. Source: Alexandria via LeMat-Bulk, functional GGA-PBE.

```
4
Lattice="4.7659 0.0000 0.0000 0.0000 4.7659 0.0000 0.0000 0.0000 5.4297" Properties=species:S:1:pos:R:3 pbc="T T T"
K 0.0000 2.3830 0.0000
K 2.3830 0.0000 0.0000
Cr 0.0000 0.0000 2.7149
Fe 2.3830 2.3830 2.7149
```

Output
Its calculated formation energy is 1.3686 eV per atom. The calculation puts the total magnetization at 7.914 μB/cell.